(1)
Density functional theory data (PBE) for an optimized crystal structure of NdPPtRh. Values from VASP.

Quantum ESPRESSO input file:
```
&SYSTEM
  ibrav = 0, nat = 8, ntyp = 4
/
ATOMIC_SPECIES
Nd 144.24 Nd.upf
P 30.97 P.upf
Pt 195.08 Pt.upf
Rh 102.91 Rh.upf
ATOMIC_POSITIONS crystal
Nd 0.2500 0.2500 0.2245
Nd 0.7500 0.7500 0.7755
P 0.2500 0.2500 0.6452
P 0.7500 0.7500 0.3548
Pt 0.2500 0.2500 0.9030
Pt 0.7500 0.7500 0.0970
Rh 0.2500 0.7500 0.5000
Rh 0.7500 0.2500 0.5000
CELL_PARAMETERS angstrom
3.9544 0.0000 0.0000
0.0000 3.9544 0.0000
0.0000 0.0000 9.4637
```

Computed properties:
ΔE_f: -1.057 eV per atom
symmetry: P4/nmm (129)

(2)
Density functional theory data (PBE) for an optimized crystal structure of Nd2P3Pt12Rh. Values from VASP.

Quantum ESPRESSO input file:
```
&SYSTEM
  ibrav = 0, nat = 18, ntyp = 4
/
ATOMIC_SPECIES
Nd 144.24 Nd.upf
P 30.97 P.upf
Pt 195.08 Pt.upf
Rh 102.91 Rh.upf
ATOMIC_POSITIONS crystal
Nd 0.1121 0.1121 0.1121
Nd 0.8879 0.8879 0.8879
P 0.0000 0.5000 0.5000
P 0.5000 0.0000 0.5000
P 0.5000 0.5000 0.0000
Pt 0.1213 0.6262 0.6262
Pt 0.1547 0.1547 0.6038
Pt 0.1547 0.6038 0.1547
Pt 0.3738 0.3738 0.8787
Pt 0.3738 0.8787 0.3738
Pt 0.3962 0.8453 0.8453
Pt 0.6038 0.1547 0.1547
Pt 0.6262 0.1213 0.6262
Pt 0.6262 0.6262 0.1213
Pt 0.8453 0.3962 0.8453
Pt 0.8453 0.8453 0.3962
Pt 0.8787 0.3738 0.3738
Rh 0.5000 0.5000 0.5000
CELL_PARAMETERS angstrom
4.1127 2.3745 6.0797
-4.1127 2.3745 6.0797
0.0000 -4.7490 6.0797
```

Computed properties:
ΔE_f: -0.329 eV per atom
symmetry: R-3m (166)

(3)
Density functional theory data (PBE) for an optimized crystal structure of Nd2P3PtRh4. Values from VASP.

Quantum ESPRESSO input file:
```
&SYSTEM
  ibrav = 0, nat = 10, ntyp = 4
/
ATOMIC_SPECIES
Nd 144.24 Nd.upf
P 30.97 P.upf
Pt 195.08 Pt.upf
Rh 102.91 Rh.upf
ATOMIC_POSITIONS crystal
Nd 0.0000 0.5000 0.2409
Nd 0.5000 0.0000 0.7591
P 0.0000 0.0000 0.0000
P 0.0000 0.5000 0.6276
P 0.5000 0.0000 0.3724
Pt 0.5000 0.5000 0.0000
Rh 0.0000 0.0000 0.5000
Rh 0.0000 0.5000 0.8469
Rh 0.5000 0.0000 0.1531
Rh 0.5000 0.5000 0.5000
CELL_PARAMETERS angstrom
4.1173 0.0000 0.0000
0.0000 4.1173 0.0000
0.0000 0.0000 10.2232
```

Computed properties:
ΔE_f: -0.923 eV per atom
symmetry: P-4m2 (115)

(4)
Density functional theory data (PBE) for an optimized crystal structure of NdP2PtRh2. Values from VASP.

Quantum ESPRESSO input file:
```
&SYSTEM
  ibrav = 0, nat = 12, ntyp = 4
/
ATOMIC_SPECIES
Nd 144.24 Nd.upf
P 30.97 P.upf
Pt 195.08 Pt.upf
Rh 102.91 Rh.upf
ATOMIC_POSITIONS crystal
Nd 0.0000 0.0000 0.0000
Nd 0.5000 0.5000 0.5000
P 0.2343 0.3033 0.0000
P 0.2657 0.8033 0.5000
P 0.7343 0.1967 0.5000
P 0.7657 0.6967 0.0000
Pt 0.0000 0.5000 0.0000
Pt 0.5000 0.0000 0.5000
Rh 0.0630 0.2933 0.5000
Rh 0.4370 0.7933 0.0000
Rh 0.5630 0.2067 0.0000
Rh 0.9370 0.7067 0.5000
CELL_PARAMETERS angstrom
6.1399 0.0000 0.0000
0.0000 9.1419 0.0000
0.0000 0.0000 4.0610
```

Computed properties:
ΔE_f: -0.770 eV per atom
symmetry: Pnnm (58)

(5)
Density functional theory data (PBE) for an optimized crystal structure of Nd2P3PtRh12. Values from VASP.

Quantum ESPRESSO input file:
```
&SYSTEM
  ibrav = 0, nat = 18, ntyp = 4
/
ATOMIC_SPECIES
Nd 144.24 Nd.upf
P 30.97 P.upf
Pt 195.08 Pt.upf
Rh 102.91 Rh.upf
ATOMIC_POSITIONS crystal
Nd 0.1059 0.1059 0.1059
Nd 0.8941 0.8941 0.8941
P 0.0000 0.5000 0.5000
P 0.5000 0.0000 0.5000
P 0.5000 0.5000 0.0000
Pt 0.5000 0.5000 0.5000
Rh 0.1341 0.6482 0.6482
Rh 0.1686 0.1686 0.5861
Rh 0.1686 0.5861 0.1686
Rh 0.3518 0.3518 0.8659
Rh 0.3518 0.8659 0.3518
Rh 0.4139 0.8314 0.8314
Rh 0.5861 0.1686 0.1686
Rh 0.6482 0.1341 0.6482
Rh 0.6482 0.6482 0.1341
Rh 0.8314 0.4139 0.8314
Rh 0.8314 0.8314 0.4139
Rh 0.8659 0.3518 0.3518
CELL_PARAMETERS angstrom
4.2404 2.4482 5.1028
-4.2404 2.4482 5.1028
0.0000 -4.8964 5.1028
```

Computed properties:
ΔE_f: -0.144 eV per atom
symmetry: R-3m (166)

(6)
Density functional theory data (PBE) for an optimized crystal structure of Nd4PPtS2. Values from VASP.

Quantum ESPRESSO input file:
```
&SYSTEM
  ibrav = 0, nat = 8, ntyp = 4
/
ATOMIC_SPECIES
Nd 144.24 Nd.upf
P 30.97 P.upf
Pt 195.08 Pt.upf
S 32.06 S.upf
ATOMIC_POSITIONS crystal
Nd 0.2482 0.0000 0.2440
Nd 0.2485 0.5000 0.7523
Nd 0.7515 0.5000 0.2477
Nd 0.7518 0.0000 0.7560
P 0.0000 0.5000 0.0000
Pt 0.0000 0.0000 0.5000
S 0.5000 0.0000 0.0000
S 0.5000 0.5000 0.5000
CELL_PARAMETERS angstrom
7.2030 0.0000 0.0000
0.0000 4.1042 0.0000
-2.3504 0.0000 6.8210
```

Computed properties:
symmetry: P2/m (10)
E_form (uncorrected): -1638 meV/atom

(7)
Density functional theory data (PBE) for an optimized crystal structure of NdSb2P2Pt7. Values from VASP.

Quantum ESPRESSO input file:
```
&SYSTEM
  ibrav = 0, nat = 12, ntyp = 4
/
ATOMIC_SPECIES
Nd 144.24 Nd.upf
Sb 121.76 Sb.upf
P 30.97 P.upf
Pt 195.08 Pt.upf
ATOMIC_POSITIONS crystal
Nd 0.0000 0.0000 0.0000
Sb 0.2115 0.2115 0.4235
Sb 0.7885 0.7885 0.5765
P 0.3811 0.3811 0.7595
P 0.6189 0.6189 0.2405
Pt 0.0762 0.5764 0.1543
Pt 0.3029 0.3029 0.6050
Pt 0.4236 0.9238 0.8457
Pt 0.5000 0.5000 0.0000
Pt 0.5764 0.0762 0.1543
Pt 0.6971 0.6971 0.3950
Pt 0.9238 0.4236 0.8457
CELL_PARAMETERS angstrom
2.8287 -2.8291 0.0000
2.8287 2.8291 0.0000
-2.8090 0.0000 14.8842
```

Computed properties:
symmetry: C2/m (12)
E_form (uncorrected): -628 meV/atom

(8)
Density functional theory data (PBE) for an optimized crystal structure of Nd6P2PtSe3. Values from VASP.

Quantum ESPRESSO input file:
```
&SYSTEM
  ibrav = 0, nat = 12, ntyp = 4
/
ATOMIC_SPECIES
Nd 144.24 Nd.upf
P 30.97 P.upf
Pt 195.08 Pt.upf
Se 78.96 Se.upf
ATOMIC_POSITIONS crystal
Nd 0.0046 0.0046 0.2433
Nd 0.3290 0.3290 0.4265
Nd 0.3333 0.3333 0.9038
Nd 0.6667 0.6667 0.0962
Nd 0.6710 0.6710 0.5735
Nd 0.9954 0.9954 0.7567
P 0.1672 0.1672 0.3349
P 0.8328 0.8328 0.6651
Pt 0.5000 0.5000 0.0000
Se 0.1671 0.1671 0.8325
Se 0.5000 0.5000 0.5000
Se 0.8329 0.8329 0.1675
CELL_PARAMETERS angstrom
9.2330 -2.0866 0.0000
9.2330 2.0866 0.0000
-2.0052 0.0000 8.2653
```

Computed properties:
symmetry: C2/m (12)
E_form (uncorrected): -1652 meV/atom

(9)
Density functional theory data (PBE) for an optimized crystal structure of Nd4PPtSe2. Values from VASP.

Quantum ESPRESSO input file:
```
&SYSTEM
  ibrav = 0, nat = 8, ntyp = 4
/
ATOMIC_SPECIES
Nd 144.24 Nd.upf
P 30.97 P.upf
Pt 195.08 Pt.upf
Se 78.96 Se.upf
ATOMIC_POSITIONS crystal
Nd 0.2396 0.0000 0.2363
Nd 0.2537 0.5000 0.7656
Nd 0.7463 0.5000 0.2344
Nd 0.7604 0.0000 0.7637
P 0.0000 0.5000 0.0000
Pt 0.5000 0.0000 0.0000
Se 0.0000 0.0000 0.5000
Se 0.5000 0.5000 0.5000
CELL_PARAMETERS angstrom
7.3555 0.0000 0.0000
0.0000 4.1667 0.0000
-2.3983 0.0000 6.9792
```

Computed properties:
symmetry: P2/m (10)
E_form (uncorrected): -1574 meV/atom

(10)
Density functional theory data (PBE) for an optimized crystal structure of Nd8P3PtSe4. Values from VASP.

Quantum ESPRESSO input file:
```
&SYSTEM
  ibrav = 0, nat = 16, ntyp = 4
/
ATOMIC_SPECIES
Nd 144.24 Nd.upf
P 30.97 P.upf
Pt 195.08 Pt.upf
Se 78.96 Se.upf
ATOMIC_POSITIONS crystal
Nd 0.2417 0.7467 0.7467
Nd 0.2436 0.2436 0.2436
Nd 0.2533 0.2533 0.7583
Nd 0.2533 0.7583 0.2533
Nd 0.7467 0.2417 0.7467
Nd 0.7467 0.7467 0.2417
Nd 0.7564 0.7564 0.7564
Nd 0.7583 0.2533 0.2533
P 0.0000 0.0000 0.5000
P 0.0000 0.5000 0.0000
P 0.5000 0.0000 0.0000
Pt 0.5000 0.5000 0.5000
Se 0.0000 0.0000 0.0000
Se 0.0000 0.5000 0.5000
Se 0.5000 0.0000 0.5000
Se 0.5000 0.5000 0.0000
CELL_PARAMETERS angstrom
4.2015 2.4257 6.9313
-4.2015 2.4257 6.9313
0.0000 -4.8515 6.9313
```

Computed properties:
symmetry: R-3m (166)
E_form (uncorrected): -1672 meV/atom